No. 1
Entry from the Alexandria database: an optimized crystal structure of HfScCl2 (PBEsol).

Results
The calculation puts the mass density at 5.4 g/cm3. As for the volume: 179.6 Å³ per cell. For the electronic total energy, the calculation gives -5.619 eV per atom. As for the formation energy without anion corrections: -0.338 eV/atom.

Cell lengths 6.5709, 6.5709, 6.5709 Å; angles 125.94, 125.94, 79.99 degrees
With the nearest neighbours (Å) after each atom.
Fractional coordinates of all 8 atoms:
1 Hf 0.0000 0.0000 0.0000  4 Cl 2.48
2 Hf 0.7500 0.2500 0.5000  4 Cl 2.48
3 Sc 0.2500 0.7500 0.5000  4 Cl 2.44
4 Sc 0.5000 0.5000 0.0000  4 Cl 2.44
5 Cl 0.1308 0.1250 0.5058  2 Sc 2.44, 2 Hf 2.48
6 Cl 0.3750 0.8692 0.9942  2 Sc 2.44, 2 Hf 2.48
7 Cl 0.6192 0.6250 0.4942  2 Sc 2.44, 2 Hf 2.48
8 Cl 0.8750 0.3808 0.0058  2 Sc 2.44, 2 Hf 2.48


No. 2
Entry from the Alexandria database: an optimized crystal structure of YSc2B (PBEsol).

Results
The calculation puts the mass density at 3.5 g/cm3. As for the volume: 89.6 Å³ per cell. For the electronic total energy, the calculation gives -6.640 eV per atom. Its energy of formation from the pure elements is 122 meV per atom.

Cell lengths 9.5492, 9.5492, 9.5492 Å; angles 20.06, 20.06, 20.06 degrees
With the nearest neighbours (Å) after each atom.
Fractional coordinates of all 4 atoms:
1 Y 0.0000 0.0000 0.0000  2 Sc 3.30, 6 Y 3.33
2 Sc 0.1176 0.1176 0.1176  3 B 2.36
3 Sc 0.8824 0.8824 0.8824  3 B 2.36
4 B 0.5000 0.5000 0.5000  6 Sc 2.36


> Among the records above, which one has the highest mass density?

HfScCl2